(1)
Material: CsFe2HgCl8
Method: DFT, PBE
State: optimized geometry

Structure (CIF):
```
data_CsFe2HgCl8
_chemical_formula_sum 'Cs2 Fe4 Hg2 Cl16'
_space_group_name_H-M_alt 'C 1 2/m 1'
_space_group_IT_number 12
_space_group_name_Hall '-C 2y'
_cell_length_a 10.720
_cell_length_b 7.517
_cell_length_c 10.212
_cell_angle_alpha 90.00
_cell_angle_beta 99.67
_cell_angle_gamma 90.00
loop_
_atom_site_label
_atom_site_type_symbol
_atom_site_fract_x
_atom_site_fract_y
_atom_site_fract_z
Cs1 Cs 0.000 0.000 0.000
Fe1 Fe 0.106 0.500 0.287
Hg1 Hg 0.000 0.000 0.500
Cl1 Cl 0.015 0.259 0.708
Cl2 Cl 0.186 0.500 0.101
Cl3 Cl 0.248 0.500 0.475
```

**Energy relative to the elements, uncorrected**: -954 meV/atom

(2)
Material: YBr
Method: DFT, PBE
State: optimized geometry

Structure (CIF):
```
data_YBr
_chemical_formula_sum 'Y6 Br6'
_space_group_name_H-M_alt 'P 63/m'
_space_group_IT_number 176
_space_group_name_Hall '-P 6c'
_cell_length_a 10.9690
_cell_length_b 10.9690
_cell_length_c 3.6946
_cell_angle_alpha 90.00
_cell_angle_beta 90.00
_cell_angle_gamma 120.00
loop_
_atom_site_label
_atom_site_type_symbol
_atom_site_fract_x
_atom_site_fract_y
_atom_site_fract_z
Y1 Y 0.1323 0.6290 0.2500
Br1 Br 0.0552 0.3280 0.2500
```

**Energy relative to the elements, uncorrected**: -972 meV/atom

(3)
Material: Sr8LiN2
Method: DFT, PBE
State: optimized geometry

Structure (CIF):
```
data_Sr8LiN2
_chemical_formula_sum 'Sr16 Li2 N4'
_space_group_name_H-M_alt 'C 1 2/m 1'
_space_group_IT_number 12
_space_group_name_Hall '-C 2y'
_cell_length_a 14.879
_cell_length_b 8.074
_cell_length_c 8.779
_cell_angle_alpha 90.00
_cell_angle_beta 109.74
_cell_angle_gamma 90.00
loop_
_atom_site_label
_atom_site_type_symbol
_atom_site_fract_x
_atom_site_fract_y
_atom_site_fract_z
Sr1 Sr 0.126 0.230 0.252
Sr2 Sr 0.131 0.500 0.705
Sr3 Sr 0.167 0.000 0.892
Li1 Li 0.000 0.000 0.500
N1 N 0.201 0.000 0.175
```

**Energy relative to the elements, uncorrected**: -210 meV/atom

(4)
Material: Hf2BiAu2
Method: DFT, PBE
State: optimized geometry

Structure (CIF):
```
data_Hf2BiAu2
_chemical_formula_sum 'Hf4 Bi2 Au4'
_space_group_name_H-M_alt 'P 4/m b m'
_space_group_IT_number 127
_space_group_name_Hall '-P 4 2ab'
_cell_length_a 7.916
_cell_length_b 7.916
_cell_length_c 3.539
_cell_angle_alpha 90.00
_cell_angle_beta 90.00
_cell_angle_gamma 90.00
loop_
_atom_site_label
_atom_site_type_symbol
_atom_site_fract_x
_atom_site_fract_y
_atom_site_fract_z
Hf1 Hf 0.158 0.342 0.000
Bi1 Bi 0.000 0.000 0.000
Au1 Au 0.134 0.634 0.500
```

**Offset from the most stable computed form**: 0.047 eV per atom
**ΔE_f**: -209 meV/atom

(5)
Material: CrMo2W2
Method: DFT, PBE
State: optimized geometry

Structure (CIF):
```
data_CrMo2W2
_chemical_formula_sum 'Cr2 Mo4 W4'
_space_group_name_H-M_alt 'C m m m'
_space_group_IT_number 65
_space_group_name_Hall '-C 2 2'
_cell_length_a 3.189
_cell_length_b 11.697
_cell_length_c 4.402
_cell_angle_alpha 90.00
_cell_angle_beta 90.00
_cell_angle_gamma 90.00
loop_
_atom_site_label
_atom_site_type_symbol
_atom_site_fract_x
_atom_site_fract_y
_atom_site_fract_z
Cr1 Cr 0.000 0.000 0.000
Mo1 Mo 0.000 0.342 0.000
W1 W 0.000 0.148 0.500
```

**Offset from the most stable computed form**: 0.000 eV per atom
**ΔE_f**: 635 meV/atom

(6)
Material: LaSi2Mo2
Method: DFT, PBE
State: optimized geometry

Structure (CIF):
```
data_LaSi2Mo2
_chemical_formula_sum 'La2 Si4 Mo4'
_space_group_name_H-M_alt 'I 4/m m m'
_space_group_IT_number 139
_space_group_name_Hall '-I 4 2'
_cell_length_a 4.653
_cell_length_b 4.653
_cell_length_c 9.145
_cell_angle_alpha 90.00
_cell_angle_beta 90.00
_cell_angle_gamma 90.00
loop_
_atom_site_label
_atom_site_type_symbol
_atom_site_fract_x
_atom_site_fract_y
_atom_site_fract_z
La1 La 0.000 0.000 0.000
Si1 Si 0.000 0.500 0.250
Mo1 Mo 0.000 0.000 0.374
```

**Offset from the most stable computed form**: 0.000 eV per atom
**Energy relative to the elements, uncorrected**: -168 meV/atom

(7)
Material: BaZnCdBi2
Method: DFT, PBE
State: optimized geometry

Structure (CIF):
```
data_BaZnCdBi2
_chemical_formula_sum 'Ba1 Zn1 Cd1 Bi2'
_space_group_name_H-M_alt 'P 4/m m m'
_space_group_IT_number 123
_space_group_name_Hall '-P 4 2'
_cell_length_a 5.582
_cell_length_b 5.582
_cell_length_c 5.336
_cell_angle_alpha 90.00
_cell_angle_beta 90.00
_cell_angle_gamma 90.00
loop_
_atom_site_label
_atom_site_type_symbol
_atom_site_fract_x
_atom_site_fract_y
_atom_site_fract_z
Ba1 Ba 0.000 0.000 0.000
Zn1 Zn 0.500 0.500 0.500
Cd1 Cd 0.500 0.500 0.000
Bi1 Bi 0.000 0.500 0.500
```

**Offset from the most stable computed form**: 0.157 eV per atom
**ΔE_f**: -190 meV/atom

(8)
Material: NbB2SF
Method: DFT, PBE
State: optimized geometry

Structure (CIF):
```
data_NbB2SF
_chemical_formula_sum 'Nb1 B2 S1 F1'
_space_group_name_H-M_alt 'P 4/m m m'
_space_group_IT_number 123
_space_group_name_Hall '-P 4 2'
_cell_length_a 3.775
_cell_length_b 3.775
_cell_length_c 4.131
_cell_angle_alpha 90.00
_cell_angle_beta 90.00
_cell_angle_gamma 90.00
loop_
_atom_site_label
_atom_site_type_symbol
_atom_site_fract_x
_atom_site_fract_y
_atom_site_fract_z
Nb1 Nb 0.000 0.000 0.000
B1 B 0.000 0.500 0.500
S1 S 0.500 0.500 0.500
F1 F 0.500 0.500 0.000
```

**Energy relative to the elements, uncorrected**: 894 meV/atom

(9)
Material: HoMg4Pd15
Method: DFT, PBE
State: optimized geometry

Structure (CIF):
```
data_HoMg4Pd15
_chemical_formula_sum 'Ho1 Mg4 Pd15'
_space_group_name_H-M_alt 'P 4/m m m'
_space_group_IT_number 123
_space_group_name_Hall '-P 4 2'
_cell_length_a 4.009
_cell_length_b 4.009
_cell_length_c 19.930
_cell_angle_alpha 90.00
_cell_angle_beta 90.00
_cell_angle_gamma 90.00
loop_
_atom_site_label
_atom_site_type_symbol
_atom_site_fract_x
_atom_site_fract_y
_atom_site_fract_z
Ho1 Ho 0.000 0.000 0.000
Mg1 Mg 0.000 0.000 0.205
Mg2 Mg 0.000 0.000 0.402
Pd1 Pd 0.000 0.500 0.106
Pd2 Pd 0.000 0.500 0.304
Pd3 Pd 0.000 0.500 0.500
Pd4 Pd 0.500 0.500 0.000
Pd5 Pd 0.500 0.500 0.205
Pd6 Pd 0.500 0.500 0.402
```

**ΔE_f**: -551 meV/atom

(10)
Material: LaCoCuGe2
Method: DFT, PBE
State: optimized geometry

Structure (CIF):
```
data_LaCoCuGe2
_chemical_formula_sum 'La2 Co2 Cu2 Ge4'
_space_group_name_H-M_alt 'I -4 m 2'
_space_group_IT_number 119
_space_group_name_Hall 'I -4 -2'
_cell_length_a 4.202
_cell_length_b 4.202
_cell_length_c 10.167
_cell_angle_alpha 90.00
_cell_angle_beta 90.00
_cell_angle_gamma 90.00
loop_
_atom_site_label
_atom_site_type_symbol
_atom_site_fract_x
_atom_site_fract_y
_atom_site_fract_z
La1 La 0.000 0.000 0.000
Co1 Co 0.000 0.500 0.750
Cu1 Cu 0.000 0.500 0.250
Ge1 Ge 0.000 0.000 0.369
```

**ΔE_f**: -521 meV/atom

(11)
Material: Ba2HgH6Ru
Method: DFT, PBE
State: optimized geometry

Structure (CIF):
```
data_Ba2HgH6Ru
_chemical_formula_sum 'Ba2 Hg1 H6 Ru1'
_space_group_name_H-M_alt 'P -3 m 1'
_space_group_IT_number 164
_space_group_name_Hall '-P 3 2"'
_cell_length_a 5.3174
_cell_length_b 5.3174
_cell_length_c 7.7204
_cell_angle_alpha 90.00
_cell_angle_beta 90.00
_cell_angle_gamma 120.00
loop_
_atom_site_label
_atom_site_type_symbol
_atom_site_fract_x
_atom_site_fract_y
_atom_site_fract_z
Ba1 Ba 0.3333 0.6667 0.1755
Hg1 Hg 0.0000 0.0000 0.5000
H1 H 0.1559 0.3117 0.8750
Ru1 Ru 0.0000 0.0000 0.0000
```

**Total DFT energy (no corrections)**: -3.75 eV per atom

(12)
Material: CaAcSn2Hg6
Method: DFT, PBE
State: optimized geometry

Structure (CIF):
```
data_CaAcSn2Hg6
_chemical_formula_sum 'Ca4 Ac4 Sn8 Hg24'
_space_group_name_H-M_alt 'C 1 2/c 1'
_space_group_IT_number 15
_space_group_name_Hall '-C 2yc'
_cell_length_a 10.189
_cell_length_b 14.923
_cell_length_c 8.774
_cell_angle_alpha 90.00
_cell_angle_beta 123.69
_cell_angle_gamma 90.00
loop_
_atom_site_label
_atom_site_type_symbol
_atom_site_fract_x
_atom_site_fract_y
_atom_site_fract_z
Ca1 Ca 0.000 0.147 0.250
Ac1 Ac 0.000 0.394 0.750
Sn1 Sn 0.233 0.213 0.719
Hg1 Hg 0.107 0.385 0.455
Hg2 Hg 0.114 0.157 0.963
Hg3 Hg 0.187 0.014 0.699
```

**ΔE_f**: -276 meV/atom

(13)
Material: K3DyU3Se8
Method: DFT, PBE
State: optimized geometry

Structure (CIF):
```
data_K3DyU3Se8
_chemical_formula_sum 'K9 Dy3 U9 Se24'
_space_group_name_H-M_alt 'R -3 m'
_space_group_IT_number 166
_space_group_name_Hall '-R 3 2"'
_cell_length_a 8.3665
_cell_length_b 8.3665
_cell_length_c 23.4916
_cell_angle_alpha 90.00
_cell_angle_beta 90.00
_cell_angle_gamma 120.00
loop_
_atom_site_label
_atom_site_type_symbol
_atom_site_fract_x
_atom_site_fract_y
_atom_site_fract_z
K1 K 0.0000 0.5000 0.0000
Dy1 Dy 0.0000 0.0000 0.5000
U1 U 0.0000 0.5000 0.5000
Se1 Se 0.0000 0.0000 0.2357
Se2 Se 0.9996 0.4998 0.2342
```

**Energy relative to the elements, uncorrected**: -1371 meV/atom

(14)
Material: CePrPu2
Method: DFT, PBE
State: optimized geometry

Structure (CIF):
```
data_CePrPu2
_chemical_formula_sum 'Ce1 Pr1 Pu2'
_space_group_name_H-M_alt 'P 4/m m m'
_space_group_IT_number 123
_space_group_name_Hall '-P 4 2'
_cell_length_a 4.895
_cell_length_b 4.895
_cell_length_c 4.843
_cell_angle_alpha 90.00
_cell_angle_beta 90.00
_cell_angle_gamma 90.00
loop_
_atom_site_label
_atom_site_type_symbol
_atom_site_fract_x
_atom_site_fract_y
_atom_site_fract_z
Ce1 Ce 0.000 0.000 0.000
Pr1 Pr 0.500 0.500 0.000
Pu1 Pu 0.000 0.500 0.500
```

**Offset from the most stable computed form**: 0.043 eV per atom
**ΔE_f**: 220 meV/atom

Number 1: size of the total moment 18.00 μB per cell. Number 2: size of the total moment 3.10 μB per cell. Number 3: size of the total moment 0.00 μB per cell. Number 4: size of the total moment 0.00 μB per cell. Number 5: size of the total moment 0.00 μB per cell. Number 6: size of the total moment 0.00 μB per cell. Number 7: size of the total moment 0.00 μB per cell. Number 8: size of the total moment 0.00 μB per cell. Number 9: size of the total moment 0.00 μB per cell. Number 10: size of the total moment 1.79 μB per cell. Number 11: size of the total moment 0.00 μB per cell. Number 12: size of the total moment 0.00 μB per cell. Number 13: size of the total moment 24.00 μB per cell. Number 14: size of the total moment 12.39 μB per cell.